# 1
A plane-wave DFT calculation with GGA-PBE was carried out for an optimized crystal structure of Pa3TiS2O6.

abc: 5.358 7.247 6.925
angles: 121.55 80.06 90.00
Last column: magnetic moment on the atom in μB.
Positions (direct):
1 O 0.720 0.792 0.148  -0.02
2 O 0.620 0.829 0.659  -0.03
3 O 0.720 0.357 0.148  -0.02
4 O 0.280 0.208 0.852  -0.02
5 O 0.380 0.171 0.341  -0.03
6 O 0.280 0.643 0.852  -0.02
7 S 0.845 0.295 0.591  -0.02
8 S 0.155 0.705 0.409  -0.02
9 Pa 0.500 0.500 0.500  0.50
10 Pa 0.000 0.500 0.000  0.45
11 Pa 0.500 0.000 0.500  0.50
12 Ti 0.500 0.000 0.000  1.43

Calculated values
DOS(E_F)   5.3 states/eV per cell
Final energy   -0.6536 Ry/atom
Crystal system   monoclinic
Uncorrected formation energy   -2.694 eV per atom

***

# 2
A plane-wave DFT calculation with GGA-PBE was carried out for an optimized crystal structure of U2AlSi4Ni3.

abc: 3.971 3.971 9.775
angles: 90.00 90.00 90.00
Last column: magnetic moment on the atom in μB.
Positions (direct):
1 Si 0.000 0.000 0.000  -0.02
2 Si 0.000 0.500 0.352  -0.02
3 Si 0.500 0.000 0.648  -0.02
4 Si 0.500 0.500 0.000  -0.01
5 Ni 0.500 0.000 0.881  0.01
6 Ni 0.000 0.500 0.119  0.01
7 Ni 0.000 0.000 0.500  -0.05
8 Al 0.500 0.500 0.500  -0.01
9 U 0.500 0.000 0.242  1.94
10 U 0.000 0.500 0.758  1.94

Calculated values
DOS(E_F)   18.0 states/eV per cell
Final energy   -0.5191 Ry/atom
Crystal system   tetragonal
Uncorrected formation energy   -0.528 eV per atom

***

# 3
A plane-wave DFT calculation with GGA-PBE was carried out for an optimized crystal structure of Nd2SmGa2Pt7.

abc: 4.125 4.125 14.229
angles: 83.85 83.85 89.40
Positions (direct):
1 Pt 0.369 0.369 0.430
2 Pt 0.943 0.443 0.155
3 Pt 0.443 0.943 0.155
4 Pt 0.057 0.557 0.845
5 Pt 0.631 0.631 0.570
6 Pt 0.557 0.057 0.845
7 Pt 0.500 0.500 0.000
8 Nd 0.116 0.116 0.643
9 Nd 0.884 0.884 0.357
10 Ga 0.407 0.407 0.255
11 Ga 0.593 0.593 0.745
12 Sm 0.000 0.000 0.000

Calculated values
DOS(E_F)   3.5 states/eV per cell
Final energy   -0.4535 Ry/atom
ΔH_f (0 K)   -0.954 eV/atom
Crystal system   monoclinic

***

- What is the final energy in the second record?
  -0.5191 Ry/atom